{
  "formula": "TmH3Pd6",
  "functional": "PBE",
  "state": "relaxed",
  "cell": [[4.7223, 1.1521, -1.6282], [-2.1147, 4.6757, -0.3556], [0.6116, -0.1166, 4.9294]],
  "species": ["Tm", "H", "H", "H", "Pd", "Pd", "Pd", "Pd", "Pd", "Pd"],
  "fractional_positions": [[0.6873, 0.8459, 0.5012], [0.7353, 0.4084, 0.2652], [0.2492, 0.6679, 0.8795], [0.1314, 0.0280, 0.4087], [0.5579, 0.5386, 0.9151], [0.1179, 0.6970, 0.2032], [0.8528, 0.1305, 0.0692], [0.2733, 0.9989, 0.7847], [0.9811, 0.4167, 0.6290], [0.4138, 0.2681, 0.3442]],
  "magmom_total_mub_per_cell": 0.00
}

{
  "formula": "TmH6Pd7",
  "functional": "PBE",
  "state": "relaxed",
  "cell": [[-4.7746, 0.1528, 1.6983], [-2.9154, -4.1399, -0.2562], [-0.3196, -3.3106, 6.9672]],
  "species": ["Tm", "H", "H", "H", "H", "H", "H", "Pd", "Pd", "Pd", "Pd", "Pd", "Pd", "Pd"],
  "fractional_positions": [[0.9981, 0.9981, 0.0056], [0.7274, 0.0821, 0.7742], [0.5785, 0.2606, 0.2399], [0.9209, 0.5785, 0.2399], [0.0821, 0.4162, 0.7742], [0.4162, 0.7274, 0.7742], [0.2606, 0.9209, 0.2399], [0.8884, 0.2197, 0.3385], [0.4409, 0.1076, 0.6745], [0.7769, 0.4409, 0.6745], [0.6646, 0.6646, 0.0063], [0.2197, 0.5534, 0.3385], [0.5534, 0.8884, 0.3385], [0.1076, 0.7769, 0.6745]],
  "magmom_total_mub_per_cell": 0.00
}

{
  "formula": "TmH2Pd8",
  "functional": "PBE",
  "state": "relaxed",
  "cell": [[4.5093, 0.2362, 0.1963], [0.7346, 6.2473, 0.4457], [0.7346, 1.5803, 6.0605]],
  "species": ["Tm", "H", "H", "Pd", "Pd", "Pd", "Pd", "Pd", "Pd", "Pd", "Pd"],
  "fractional_positions": [[0.0000, 0.0000, 0.0000], [0.2728, 0.2592, 0.2592], [0.7272, 0.7408, 0.7408], [0.5839, 0.0474, 0.6795], [0.4161, 0.3205, 0.9526], [0.8611, 0.2734, 0.2734], [0.1389, 0.7266, 0.7266], [0.5839, 0.6795, 0.0474], [0.4161, 0.9526, 0.3205], [0.2786, 0.4342, 0.4342], [0.7214, 0.5658, 0.5658]],
  "magmom_total_mub_per_cell": 0.00
}

{
  "formula": "TmH6Pd5",
  "functional": "PBE",
  "state": "relaxed",
  "cell": [[-1.4381, -1.6888, 4.8398], [4.1436, -0.6453, 3.1638], [-1.1007, 3.3860, 3.7826]],
  "species": ["Tm", "H", "H", "H", "H", "H", "H", "Pd", "Pd", "Pd", "Pd", "Pd"],
  "fractional_positions": [[0.0000, 0.0000, 0.0000], [0.5093, 0.7614, 0.6221], [0.8686, 0.2386, 0.6221], [0.2396, 0.3266, 0.0000], [0.7604, 0.6734, 0.0000], [0.1314, 0.7614, 0.3779], [0.4907, 0.2386, 0.3779], [0.8408, 0.5000, 0.3184], [0.6704, 0.0000, 0.6591], [0.5000, 0.5000, 0.0000], [0.3296, 0.0000, 0.3409], [0.1592, 0.5000, 0.6816]],
  "magmom_total_mub_per_cell": 0.00
}

{
  "formula": "Tm4HPd2",
  "functional": "PBE",
  "state": "relaxed",
  "cell": [[-4.1724, -0.3674, 1.9602], [-1.7702, -1.4115, -4.0324], [4.3742, -5.8127, 2.7662]],
  "species": ["H", "Tm", "Tm", "Tm", "Tm", "Pd", "Pd"],
  "fractional_positions": [[0.0000, 0.0000, 0.0000], [0.8142, 0.8142, 0.6283], [0.1858, 0.1858, 0.3717], [0.0000, 0.5000, 0.0000], [0.5000, 0.0000, 0.0000], [0.6236, 0.6236, 0.2472], [0.3764, 0.3764, 0.7528]],
  "magmom_total_mub_per_cell": 0.00
}

{
  "formula": "TmHPd",
  "functional": "PBE",
  "state": "relaxed",
  "cell": [[-0.1248, -4.1595, 1.7657], [-1.2521, -1.3205, -3.1994], [5.1203, -25.1672, 10.5010]],
  "species": ["H", "H", "Tm", "Tm", "Pd", "Pd"],
  "fractional_positions": [[0.6897, 0.1918, 0.3835], [0.3103, 0.8082, 0.6165], [0.3449, 0.3675, 0.7349], [0.6551, 0.6325, 0.2651], [0.7656, 0.0803, 0.1605], [0.2344, 0.9197, 0.8395]],
  "magmom_total_mub_per_cell": 0.00
}

{
  "formula": "Tm2HPd",
  "functional": "PBE",
  "state": "relaxed",
  "cell": [[-2.6870, -1.7595, -0.6333], [-0.1915, -0.8438, 3.1573], [-3.9517, 5.5840, 1.2527]],
  "species": ["H", "Tm", "Tm", "Pd"],
  "fractional_positions": [[0.5000, 0.5000, 0.5000], [0.0000, 0.0000, 0.7399], [0.0000, 0.0000, 0.2601], [0.5000, 0.5000, 0.0000]],
  "magmom_total_mub_per_cell": 0.00
}

{
  "formula": "TmH7Pd12",
  "functional": "PBE",
  "state": "relaxed",
  "cell": [[6.9649, -0.0095, -1.3910], [-2.9116, 5.2621, -2.5144], [-1.1268, 0.0016, 6.4126]],
  "species": ["Tm", "H", "H", "H", "H", "H", "H", "H", "Pd", "Pd", "Pd", "Pd", "Pd", "Pd", "Pd", "Pd", "Pd", "Pd", "Pd", "Pd"],
  "fractional_positions": [[0.0165, 0.0000, 0.0003], [0.1050, 0.7042, 0.0810], [0.9102, 0.0881, 0.3159], [0.5946, 0.6842, 0.7719], [0.4567, 0.0005, 0.0002], [0.3996, 0.3788, 0.2957], [0.0201, 0.9161, 0.6203], [0.8234, 0.2284, 0.9114], [0.2522, 0.5384, 0.1598], [0.9401, 0.1624, 0.6231], [0.6288, 0.7686, 0.0815], [0.4784, 0.0801, 0.3115], [0.3173, 0.3772, 0.5400], [0.1671, 0.6888, 0.7694], [0.8601, 0.3126, 0.2315], [0.7136, 0.6207, 0.4617], [0.5477, 0.9190, 0.6878], [0.3982, 0.2310, 0.9200], [0.0929, 0.8404, 0.3790], [0.7775, 0.4605, 0.8379]],
  "magmom_total_mub_per_cell": 0.00
}

no.,total energy (eV per atom),D(E_F) (states/eV per cell)
1,-4.971,2.77
2,-4.621,3.01
3,-5.000,7.26
4,-4.529,2.25
5,-5.078,7.62
6,-5.077,1.78
7,-4.666,3.72
8,-4.744,7.14